Record 1
{
  "formula": "SmGd2DyIn2",
  "functional": "PBE",
  "state": "optimized geometry",
  "cell": [[5.4280, 0.0000, 0.0000], [-2.7140, 4.7008, 0.0000], [0.0000, 0.0000, 6.7791]],
  "species": ["Sm", "Gd", "Gd", "Dy", "In", "In"],
  "fractional_positions": [[0.0000, 0.0000, 0.0000], [0.6667, 0.3333, 0.2547], [0.6667, 0.3333, 0.7452], [0.3333, 0.6667, 0.5000], [0.0000, 0.0000, 0.5000], [0.3333, 0.6667, 0.0000]],
  "final_energy_ev_per_atom": -4.37,
  "space_group": "P-6m2 (187)"
}



Record 2
{
  "formula": "LiNbNO",
  "functional": "PBE",
  "state": "optimized geometry",
  "cell": [[4.2869, 0.0000, 0.0000], [0.0000, 4.2869, 0.0000], [0.0000, 0.0000, 4.1600]],
  "species": ["Li", "Li", "Nb", "Nb", "N", "N", "O", "O"],
  "fractional_positions": [[0.2500, 0.2500, 0.0010], [0.7500, 0.7500, 0.9990], [0.2500, 0.7500, 0.5000], [0.7500, 0.2500, 0.5000], [0.2500, 0.2500, 0.5006], [0.7500, 0.7500, 0.4994], [0.2500, 0.7500, 0.0000], [0.7500, 0.2500, 0.0000]],
  "final_energy_ev_per_atom": -7.98,
  "space_group": "P4/nmm (129)",
  "e_above_lowest_polymorph_ev_per_atom": 0.0000
}



Record 3
{
  "formula": "Ta2Nb2O5",
  "functional": "PBE",
  "state": "optimized geometry",
  "cell": [[3.4639, 0.0000, 0.0000], [0.0000, 3.4639, 0.0000], [0.0000, 0.0000, 8.6506]],
  "species": ["Ta", "Ta", "Nb", "Nb", "O", "O", "O", "O", "O"],
  "fractional_positions": [[0.0000, 0.0000, 0.0000], [0.0000, 0.0000, 0.5000], [0.5000, 0.5000, 0.1995], [0.5000, 0.5000, 0.8005], [0.0000, 0.5000, 0.3268], [0.0000, 0.5000, 0.6732], [0.5000, 0.0000, 0.3268], [0.5000, 0.0000, 0.6732], [0.5000, 0.5000, 0.5000]],
  "final_energy_ev_per_atom": -8.82,
  "space_group": "P4/mmm (123)",
  "e_above_lowest_polymorph_ev_per_atom": 0.1677
}



Record 4
{
  "formula": "YNpPb",
  "functional": "PBE",
  "state": "optimized geometry",
  "cell": [[0.0000, 3.7065, 3.7065], [3.7065, 0.0000, 3.7065], [3.7065, 3.7065, 0.0000]],
  "species": ["Y", "Np", "Pb"],
  "fractional_positions": [[0.0000, 0.0000, 0.0000], [0.5000, 0.5000, 0.5000], [0.7500, 0.7500, 0.7500]],
  "final_energy_ev_per_atom": -7.32,
  "space_group": "F-43m (216)",
  "e_above_lowest_polymorph_ev_per_atom": 0.0000
}



Record 5
{
  "formula": "AcUSn",
  "functional": "PBE",
  "state": "optimized geometry",
  "cell": [[0.0000, 3.7783, 3.7783], [3.7783, 0.0000, 3.7783], [3.7783, 3.7783, 0.0000]],
  "species": ["Ac", "U", "Sn"],
  "fractional_positions": [[0.0000, 0.0000, 0.0000], [0.2500, 0.2500, 0.2500], [0.5000, 0.5000, 0.5000]],
  "final_energy_ev_per_atom": -5.79,
  "space_group": "F-43m (216)",
  "e_above_lowest_polymorph_ev_per_atom": 0.0000
}



Record 6
{
  "formula": "UHg3",
  "functional": "PBE",
  "state": "optimized geometry",
  "cell": [[3.3861, -5.8468, 0.0000], [3.3861, 5.8468, 0.0000], [0.0000, 0.0000, 5.0351]],
  "species": ["U", "U", "Hg", "Hg", "Hg", "Hg", "Hg", "Hg"],
  "fractional_positions": [[0.1665, 0.8335, 0.7500], [0.8335, 0.1665, 0.2500], [0.1683, 0.3341, 0.7500], [0.3341, 0.1683, 0.2500], [0.3341, 0.6659, 0.2500], [0.6659, 0.3341, 0.7500], [0.6659, 0.8317, 0.7500], [0.8317, 0.6659, 0.2500]],
  "final_energy_ev_per_atom": -2.84,
  "formation_enthalpy_0k_mev_per_atom": 203,
  "space_group": "Cmcm (63)"
}